First-principles (SCAN) data for YMn2W at its PBEsol-relaxed geometry, as listed in the Alexandria database.

a = 2.7837 Å, b = 2.7837 Å, c = 7.7975 Å
α = 90.00°, β = 90.00°, γ = 90.00°
Last column: nearest neighbours and their distance in Å.
Sites, in units of the cell vectors:
Y (0.5000, 0.5000, 0.7784)  4 Y 2.78, 4 Mn 2.96
Mn (0.0000, 0.0000, 0.0623)  4 Mn 2.27
Mn (0.5000, 0.5000, 0.2081)  4 Mn 2.27
W (0.0000, 0.0000, 0.4512)  5 Mn 2.73-3.03, 4 W 2.78

Size of the total moment ... 0.002 μB/cell
Energy relative to the lowest polymorph listed for this composition ... 1.95 kJ/mol of atoms
Formation energy ... 0.48 eV per atom
N(E_F) ... 0.95 states/eV per atom

First-principles (SCAN) data for AlPBr at its PBEsol-relaxed geometry, as listed in the Alexandria database.

a = 3.4846 Å, b = 3.4846 Å, c = 6.0220 Å
α = 106.82°, β = 106.82°, γ = 90.00°
Last column: nearest neighbours and their distance in Å.
Sites, in units of the cell vectors:
Br (0.6721, 0.6721, 0.3441)  1 Al 2.45, 1 P 2.63
P (0.4331, 0.4331, 0.8661)  4 Al 2.50, 1 Br 2.63
Al (0.8949, 0.8949, 0.7897)  1 Br 2.45, 4 P 2.50

Size of the total moment ... 0.397 μB/cell
ΔE_f (raw) ... -0.134 eV per atom
N(E_F) ... 0.45 states/eV per atom

First-principles (SCAN) data for ScBe2Tc at its PBEsol-relaxed geometry, as listed in the Alexandria database.

a = 3.8621 Å, b = 3.8621 Å, c = 8.5468 Å
α = 103.06°, β = 103.06°, γ = 90.00°
Last column: nearest neighbours and their distance in Å.
Sites, in units of the cell vectors:
Be (0.6250, 0.7916, 0.7500)  2 Be 2.04, 2 Tc 2.27
Be (0.1250, 0.9584, 0.7500)  2 Be 2.04, 2 Tc 2.27
Be (0.0416, 0.3750, 0.2500)  2 Be 2.04, 2 Tc 2.27
Be (0.2084, 0.8750, 0.2500)  2 Be 2.04, 2 Tc 2.27
Tc (0.0000, 0.0000, 0.0000)  4 Be 2.27
Tc (0.2500, 0.7500, 0.5000)  4 Be 2.27
Sc (0.7500, 0.2500, 0.5000)  4 Tc 2.73, 4 Be 2.76
Sc (0.5000, 0.5000, 0.0000)  4 Tc 2.73, 4 Be 2.76

Size of the total moment ... 0.000 μB/cell
Energy relative to the lowest polymorph listed for this composition ... 59.20 kJ/mol of atoms
Formation energy ... 0.35 eV per atom
N(E_F) ... 0.22 states/eV per atom

First-principles (SCAN) data for LiTi3VP6O24 at its PBEsol-relaxed geometry, as listed in the Alexandria database.

a = 8.5448 Å, b = 8.5448 Å, c = 8.5211 Å
α = 59.91°, β = 59.91°, γ = 60.00°
Last column: nearest neighbours and their distance in Å.
Sites, in units of the cell vectors:
O (0.4478, 0.5845, 0.7541)  1 P 1.53
O (0.2615, 0.9217, 0.7489)  1 P 1.56
O (0.0679, 0.2615, 0.7489)  1 P 1.56
O (0.1858, 0.0142, 0.4287)  1 P 1.57
O (0.3713, 0.1858, 0.4287)  1 P 1.57
O (0.2898, 0.1389, 0.0675)  1 P 1.51
O (0.9355, 0.7325, 0.2451)  1 P 1.54
O (0.0869, 0.9355, 0.2451)  1 P 1.54
O (0.4225, 0.7855, 0.2524)  1 P 1.53
O (0.5037, 0.2898, 0.0675)  1 P 1.51
O (0.6189, 0.8188, 0.5722)  1 P 1.53
O (0.2136, 0.4478, 0.7541)  1 P 1.53
O (0.1389, 0.5037, 0.0675)  1 P 1.51
O (0.5396, 0.4225, 0.2524)  1 P 1.53
O (0.7325, 0.0869, 0.2451)  1 P 1.54
O (0.0142, 0.3713, 0.4287)  1 P 1.57
O (0.9901, 0.6189, 0.5722)  1 P 1.53
O (0.9217, 0.0679, 0.7489)  1 P 1.56
O (0.4866, 0.7220, 0.9341)  1 P 1.52
O (0.7220, 0.8573, 0.9341)  1 P 1.52
O (0.7855, 0.5396, 0.2524)  1 P 1.53
O (0.8573, 0.4866, 0.9341)  1 P 1.52
O (0.8188, 0.9901, 0.5722)  1 P 1.53
O (0.5845, 0.2136, 0.7541)  1 P 1.53
P (0.2483, 0.9687, 0.2440)  4 O 1.51-1.57
P (0.9687, 0.5391, 0.2440)  4 O 1.51-1.57
P (0.5391, 0.2483, 0.2440)  4 O 1.51-1.57
P (0.0297, 0.4573, 0.7549)  4 O 1.52-1.56
P (0.4573, 0.7582, 0.7549)  4 O 1.52-1.56
P (0.7582, 0.0297, 0.7549)  4 O 1.52-1.56
V (0.1428, 0.1428, 0.5714)  6 O 1.82-1.91
Ti (0.6345, 0.6345, 0.0965)  6 O 1.92-1.96
Ti (0.8580, 0.8580, 0.4260)  6 O 1.88-1.97
Ti (0.3662, 0.3662, 0.9014)  6 O 1.90-1.95
Li (0.0004, 0.0004, 0.9989)  6 O 2.27-2.29

Size of the total moment ... 0.000 μB/cell
ΔE_f (raw) ... -2.711 eV per atom

First-principles (SCAN) data for LiCuNi2 at its PBEsol-relaxed geometry, as listed in the Alexandria database.

a = 2.4160 Å, b = 2.4160 Å, c = 8.2828 Å
α = 90.00°, β = 90.00°, γ = 115.19°
Last column: nearest neighbours and their distance in Å.
Sites, in units of the cell vectors:
Ni (0.0000, 0.0000, 0.9962)  8 Ni 2.39-2.59, 2 Li 2.43
Ni (0.5000, 0.5000, 0.7539)  8 Ni 2.39-2.59, 2 Cu 2.43
Li (0.5000, 0.5000, 0.2438)  6 Li 2.42-2.59, 2 Ni 2.43, 2 Cu 2.53
Cu (0.0000, 0.0000, 0.5061)  6 Cu 2.42-2.59, 2 Ni 2.43, 2 Li 2.53

Size of the total moment ... 1.125 μB/cell
Formation energy ... 0.07 eV per atom
N(E_F) ... 0.74 states/eV per atom

First-principles (SCAN) data for La2YMo at its PBEsol-relaxed geometry, as listed in the Alexandria database.

a = 3.2036 Å, b = 4.8695 Å, c = 6.5217 Å
α = 90.00°, β = 90.00°, γ = 90.00°
Last column: nearest neighbours and their distance in Å.
Sites, in units of the cell vectors:
La (0.5000, 0.5000, 0.2723)  1 Y 2.89, 2 La 3.20
La (0.0000, 0.0000, 0.9953)  2 Mo 3.12-3.40, 6 La 3.20-3.43, 4 Y 3.44
Mo (0.0000, 0.0000, 0.5169)  6 La 3.12-3.40, 4 Y 3.19, 2 Mo 3.20
Y (0.5000, 0.5000, 0.7155)  1 La 2.89, 4 Mo 3.19, 2 Y 3.20

Size of the total moment ... 0.000 μB/cell
Energy relative to the lowest polymorph listed for this composition ... 14.88 kJ/mol of atoms
Formation energy ... 0.49 eV per atom
N(E_F) ... 1.17 states/eV per atom

First-principles (SCAN) data for CdTcAu2 at its PBEsol-relaxed geometry, as listed in the Alexandria database.

a = 2.7691 Å, b = 4.9581 Å, c = 4.9186 Å
α = 90.00°, β = 90.00°, γ = 90.00°
Last column: nearest neighbours and their distance in Å.
Sites, in units of the cell vectors:
Tc (0.0000, 0.5000, 0.5000)  2 Tc 2.77, 4 Au 2.82, 4 Cd 2.84
Cd (0.5000, 0.0000, 0.5000)  2 Cd 2.77, 4 Au 2.82, 4 Tc 2.84
Au (0.5000, 0.5000, 0.0000)  6 Au 2.77-2.84, 4 Tc 2.82
Au (0.0000, 0.0000, 0.0000)  6 Au 2.77-2.84, 4 Cd 2.82

Size of the total moment ... 1.261 μB/cell
Formation energy ... 0.32 eV per atom
N(E_F) ... 0.48 states/eV per atom

First-principles (SCAN) data for Te2RhSe at its PBEsol-relaxed geometry, as listed in the Alexandria database.

a = 3.4962 Å, b = 4.3565 Å, c = 6.5411 Å
α = 109.45°, β = 105.50°, γ = 90.00°
Last column: nearest neighbours and their distance in Å.
Sites, in units of the cell vectors:
Rh (0.5000, 0.0000, 0.0000)  4 Te 2.67, 4 Se 2.79
Se (0.0000, 0.5000, 0.0000)  4 Rh 2.79, 4 Te 2.97
Te (0.1706, 0.1706, 0.3413)  2 Rh 2.67, 2 Se 2.97
Te (0.8294, 0.8294, 0.6587)  2 Rh 2.67, 2 Se 2.97

Size of the total moment ... 0.000 μB/cell
ΔE_f (raw) ... -0.025 eV per atom
N(E_F) ... 0.50 states/eV per atom

First-principles (SCAN) data for NiSnHgPt2 at its PBEsol-relaxed geometry, as listed in the Alexandria database.

a = 4.5663 Å, b = 4.8914 Å, c = 4.8914 Å
α = 90.00°, β = 90.00°, γ = 90.00°
Last column: nearest neighbours and their distance in Å.
Sites, in units of the cell vectors:
Pt (0.0000, 0.0000, 0.5000)  2 Sn 2.45
Pt (0.0000, 0.5000, 0.0000)  2 Sn 2.45
Hg (0.5000, 0.5000, 0.5000)  8 Pt 3.35, 4 Ni 3.46
Ni (0.5000, 0.0000, 0.0000)  2 Sn 2.28
Sn (0.0000, 0.0000, 0.0000)  2 Ni 2.28, 4 Pt 2.45

Size of the total moment ... 0.001 μB/cell
Formation energy ... 0.98 eV per atom
N(E_F) ... 0.70 states/eV per atom

First-principles (SCAN) data for SrRe2Pd at its PBEsol-relaxed geometry, as listed in the Alexandria database.

a = 4.5754 Å, b = 4.5754 Å, c = 4.5754 Å
α = 60.00°, β = 60.00°, γ = 60.00°
Last column: nearest neighbours and their distance in Å.
Sites, in units of the cell vectors:
Re (0.7500, 0.7500, 0.7500)  4 Sr 2.80, 4 Pd 2.80
Re (0.2500, 0.2500, 0.2500)  4 Pd 2.80, 4 Sr 2.80
Pd (0.5000, 0.5000, 0.5000)  8 Re 2.80
Sr (0.0000, 0.0000, 0.0000)  8 Re 2.80

Size of the total moment ... 0.000 μB/cell
Formation energy ... 1.62 eV per atom
N(E_F) ... 1.28 states/eV per atom

First-principles (SCAN) data for YNiMo3 at its PBEsol-relaxed geometry, as listed in the Alexandria database.

a = 4.5434 Å, b = 4.5434 Å, c = 4.5434 Å
α = 90.00°, β = 90.00°, γ = 90.00°
Last column: nearest neighbours and their distance in Å.
Sites, in units of the cell vectors:
Mo (0.0000, 0.5000, 0.0000)  2 Ni 2.27
Mo (0.5000, 0.0000, 0.0000)  2 Ni 2.27
Mo (0.0000, 0.0000, 0.5000)  2 Ni 2.27
Ni (0.0000, 0.0000, 0.0000)  6 Mo 2.27
Y (0.5000, 0.5000, 0.5000)  12 Mo 3.21

Size of the total moment ... 0.000 μB/cell
Energy relative to the lowest polymorph listed for this composition ... 0.00 kJ/mol of atoms
Formation energy ... 1.05 eV per atom
N(E_F) ... 1.12 states/eV per atom

First-principles (SCAN) data for ReRu3 at its PBEsol-relaxed geometry, as listed in the Alexandria database.

a = 4.6597 Å, b = 5.3983 Å, c = 13.0081 Å
α = 90.00°, β = 90.00°, γ = 90.00°
Last column: nearest neighbours and their distance in Å.
Sites, in units of the cell vectors:
Re (0.1690, 0.0000, 0.3382)  12 Ru 2.62-2.75
Re (0.1690, 0.0000, 0.6618)  12 Ru 2.62-2.75
Re (0.4985, 0.0000, 0.0000)  12 Ru 2.63-2.70
Re (0.8310, 0.5000, 0.8382)  12 Ru 2.62-2.75
Re (0.5015, 0.5000, 0.5000)  12 Ru 2.63-2.70
Re (0.8310, 0.5000, 0.1618)  12 Ru 2.62-2.75
Ru (0.3349, 0.2491, 0.1638)  4 Re 2.63-2.75, 8 Ru 2.64-2.73
Ru (0.0022, 0.7493, 0.5000)  4 Re 2.62-2.69, 8 Ru 2.64-2.71
Ru (0.1665, 0.5000, 0.6643)  8 Ru 2.64-2.73, 4 Re 2.65-2.75
Ru (0.6651, 0.2509, 0.6638)  4 Re 2.63-2.75, 8 Ru 2.64-2.73
Ru (0.9978, 0.2493, 0.0000)  4 Re 2.62-2.69, 8 Ru 2.64-2.71
Ru (0.4969, 0.5000, 0.0000)  4 Re 2.62-2.70, 8 Ru 2.64-2.70
Ru (0.0022, 0.2507, 0.5000)  4 Re 2.62-2.69, 8 Ru 2.64-2.71
Ru (0.8335, 0.0000, 0.8357)  8 Ru 2.64-2.73, 4 Re 2.65-2.75
Ru (0.9978, 0.7507, 0.0000)  4 Re 2.62-2.69, 8 Ru 2.64-2.71
Ru (0.3349, 0.2491, 0.8362)  4 Re 2.63-2.75, 8 Ru 2.64-2.73
Ru (0.5031, 0.0000, 0.5000)  4 Re 2.62-2.70, 8 Ru 2.64-2.70
Ru (0.3349, 0.7509, 0.8362)  4 Re 2.63-2.75, 8 Ru 2.64-2.73
Ru (0.3349, 0.7509, 0.1638)  4 Re 2.63-2.75, 8 Ru 2.64-2.73
Ru (0.1665, 0.5000, 0.3357)  8 Ru 2.64-2.73, 4 Re 2.65-2.75
Ru (0.6651, 0.7491, 0.6638)  4 Re 2.63-2.75, 8 Ru 2.64-2.73
Ru (0.6651, 0.7491, 0.3362)  4 Re 2.63-2.75, 8 Ru 2.64-2.73
Ru (0.8335, 0.0000, 0.1643)  8 Ru 2.64-2.73, 4 Re 2.65-2.75
Ru (0.6651, 0.2509, 0.3362)  4 Re 2.63-2.75, 8 Ru 2.64-2.73

Size of the total moment ... 0.000 μB/cell
Energy relative to the lowest polymorph listed for this composition ... 7.06 kJ/mol of atoms
Formation energy ... 0.00 eV per atom
N(E_F) ... 0.67 states/eV per atom